Record 1
Below is TaCr2 after structural relaxation, with properties calculated at the PBE-GGA level.

Unit cell a=6.5943 b=6.3957 c=2.6858 alpha=82.25 beta=73.95 gamma=23.80
Last column: nearest neighbours and their distance in Å.
Fractional coordinates of all 3 atoms:
Ta 0.0000 0.0000 0.0000  4 Cr 2.67, 4 Ta 2.69
Cr 0.3232 0.3232 0.6768  2 Cr 2.37
Cr 0.6768 0.6768 0.3232  2 Cr 2.37

Summary:
The value obtained for the total magnetization is 0.0 μB/cell. The calculated density comes out at 11.31 g/cm3. The total energy comes out at -10.2482 eV/atom. The calculation puts the energy above the most stable polymorph in this dataset at 5.72 kcal/mol of atoms. The calculation puts the formation energy at 118 meV/atom.

Record 2
Below is Ta4Cr after structural relaxation, with properties calculated at the PBE-GGA level.

Unit cell a=3.1923 b=5.4027 c=5.4027 alpha=95.01 beta=107.18 gamma=72.82
Last column: nearest neighbours and their distance in Å.
Fractional coordinates of all 5 atoms:
Ta 0.5899 0.6241 0.8039  2 Cr 2.71, 6 Ta 2.88
Ta 0.7860 0.8039 0.3759  2 Cr 2.71, 6 Ta 2.88
Ta 0.2140 0.1961 0.6241  2 Cr 2.71, 6 Ta 2.88
Ta 0.4101 0.3759 0.1961  2 Cr 2.71, 6 Ta 2.88
Cr 0.0000 0.0000 0.0000  8 Ta 2.71

Summary:
The value obtained for the total magnetization is 0.0 μB/cell. The calculated density comes out at 15.15 g/cm3. The total energy comes out at -11.3912 eV/atom. The calculation puts the energy above the most stable polymorph in this dataset at 0.00 kcal/mol of atoms. The calculation puts the formation energy at 16 meV/atom.

Record 3
Below is TaCr5 after structural relaxation, with properties calculated at the PBE-GGA level.

Unit cell a=2.9479 b=4.1946 c=6.5567 alpha=108.66 beta=90.00 gamma=90.00
Last column: nearest neighbours and their distance in Å.
Fractional coordinates of all 6 atoms:
Cr 0.5000 0.8251 0.6502  6 Cr 2.43-2.56, 2 Ta 2.63
Cr 0.0000 0.6696 0.3393  8 Cr 2.43-2.57
Cr 0.5000 0.5000 0.0000  4 Ta 2.56, 4 Cr 2.57
Cr 0.0000 0.3304 0.6607  8 Cr 2.43-2.57
Cr 0.5000 0.1749 0.3498  6 Cr 2.43-2.56, 2 Ta 2.63
Ta 0.0000 0.0000 0.0000  8 Cr 2.56-2.63

Summary:
The value obtained for the total magnetization is 0.3 μB/cell. The calculated density comes out at 9.53 g/cm3. The total energy comes out at -9.9519 eV/atom. The calculation puts the energy above the most stable polymorph in this dataset at 0.38 kcal/mol of atoms. The calculation puts the formation energy at 43 meV/atom.

Record 4
Below is Ta2Cr after structural relaxation, with properties calculated at the PBE-GGA level.

Unit cell a=5.4639 b=4.5544 c=7.8513 alpha=90.00 beta=90.00 gamma=90.00
Last column: nearest neighbours and their distance in Å.
Fractional coordinates of all 12 atoms:
Cr 0.1698 0.2500 0.9267  8 Ta 2.53-2.80
Cr 0.3302 0.7500 0.4267  8 Ta 2.53-2.80
Cr 0.6698 0.2500 0.5733  8 Ta 2.53-2.80
Cr 0.8302 0.7500 0.0733  8 Ta 2.53-2.80
Ta 0.6788 0.2500 0.9135  5 Cr 2.67-2.78, 3 Ta 2.90-2.91
Ta 0.0223 0.2500 0.2325  3 Cr 2.53-2.80, 2 Ta 2.75
Ta 0.1788 0.2500 0.5865  5 Cr 2.67-2.78, 3 Ta 2.90-2.91
Ta 0.4777 0.7500 0.7325  3 Cr 2.53-2.80, 2 Ta 2.75
Ta 0.9777 0.7500 0.7675  3 Cr 2.53-2.80, 2 Ta 2.75
Ta 0.5223 0.2500 0.2675  3 Cr 2.53-2.80, 2 Ta 2.75
Ta 0.8212 0.7500 0.4135  5 Cr 2.67-2.78, 3 Ta 2.90-2.91
Ta 0.3212 0.7500 0.0865  5 Cr 2.67-2.78, 3 Ta 2.90-2.91

Summary:
The value obtained for the total magnetization is 0.0 μB/cell. The calculated density comes out at 14.07 g/cm3. The total energy comes out at -11.0000 eV/atom. The calculation puts the formation energy at 110 meV/atom.

Record 5
Below is TaCr3 after structural relaxation, with properties calculated at the PBE-GGA level.

Unit cell a=2.6715 b=4.1148 c=4.9323 alpha=90.00 beta=79.80 gamma=90.00
Last column: nearest neighbours and their distance in Å.
Fractional coordinates of all 4 atoms:
Cr 0.4988 0.0000 0.4837  6 Cr 2.45-2.73, 2 Ta 2.59
Cr 0.0012 0.0000 0.0163  6 Cr 2.45-2.73, 2 Ta 2.59
Cr 0.2500 0.5000 0.2500  6 Cr 2.50-2.67, 2 Ta 2.59
Ta 0.7500 0.5000 0.7500  6 Cr 2.59, 2 Ta 2.67

Summary:
The value obtained for the total magnetization is 0.0 μB/cell. The calculated density comes out at 10.48 g/cm3. The total energy comes out at -10.0838 eV/atom. The calculation puts the formation energy at 97 meV/atom.

Record 6
Below is TaCr after structural relaxation, with properties calculated at the PBE-GGA level.

Unit cell a=4.5815 b=4.5815 c=7.1424 alpha=90.00 beta=90.00 gamma=120.00
Last column: nearest neighbours and their distance in Å.
Fractional coordinates of all 8 atoms:
Ta 0.3333 0.6667 0.7500  2 Cr 2.46, 3 Ta 2.65
Ta 0.6667 0.3333 0.2500  2 Cr 2.46, 3 Ta 2.65
Ta 0.0000 0.0000 0.2500  3 Ta 2.65, 6 Cr 2.87
Ta 0.0000 0.0000 0.7500  3 Ta 2.65, 6 Cr 2.87
Cr 0.6667 0.3333 0.9061  1 Cr 2.23, 1 Ta 2.46
Cr 0.3333 0.6667 0.0939  1 Cr 2.23, 1 Ta 2.46
Cr 0.6667 0.3333 0.5939  1 Cr 2.23, 1 Ta 2.46
Cr 0.3333 0.6667 0.4061  1 Cr 2.23, 1 Ta 2.46

Summary:
The value obtained for the total magnetization is 0.0 μB/cell. The calculated density comes out at 11.92 g/cm3. The total energy comes out at -10.0043 eV/atom. The calculation puts the formation energy at 734 meV/atom.

Q: Which formula does entry 1 have?
A: TaCr2

Q: Which formula does entry 6 have?
A: TaCr

Repeat the sixth record exactly.
Below is TaCr after structural relaxation, with properties calculated at the PBE-GGA level.

Unit cell a=4.5815 b=4.5815 c=7.1424 alpha=90.00 beta=90.00 gamma=120.00
Last column: nearest neighbours and their distance in Å.
Fractional coordinates of all 8 atoms:
Ta 0.3333 0.6667 0.7500  2 Cr 2.46, 3 Ta 2.65
Ta 0.6667 0.3333 0.2500  2 Cr 2.46, 3 Ta 2.65
Ta 0.0000 0.0000 0.2500  3 Ta 2.65, 6 Cr 2.87
Ta 0.0000 0.0000 0.7500  3 Ta 2.65, 6 Cr 2.87
Cr 0.6667 0.3333 0.9061  1 Cr 2.23, 1 Ta 2.46
Cr 0.3333 0.6667 0.0939  1 Cr 2.23, 1 Ta 2.46
Cr 0.6667 0.3333 0.5939  1 Cr 2.23, 1 Ta 2.46
Cr 0.3333 0.6667 0.4061  1 Cr 2.23, 1 Ta 2.46

Summary:
The value obtained for the total magnetization is 0.0 μB/cell. The calculated density comes out at 11.92 g/cm3. The total energy comes out at -10.0043 eV/atom. The calculation puts the formation energy at 734 meV/atom.